The following is a DFT calculation (PBE) of an optimized crystal structure of KNa3Au.

E above lowest polymorph = 27 meV per atom
theoretical density = 2857 kg/m3
DOS at the Fermi energy = 3.69 states/eV per cell
formation enthalpy at 0 K = -0.1047 eV/atom
uncorrected energy = -1.7711 eV per atom

a b c (Å): 7.938 7.938 7.109
angles (deg): 90.00 90.00 127.66
Fractional positions:
K 0.242 0.758 0.750
K 0.758 0.242 0.250
Na 0.165 0.835 0.250
Na 0.270 0.270 0.000
Na 0.270 0.270 0.500
Na 0.730 0.730 0.000
Na 0.730 0.730 0.500
Na 0.835 0.165 0.750
Au 0.368 0.632 0.250
Au 0.632 0.368 0.750